Entry 1:
VASP calculation (PBE) on a relaxed La5Pr6Cd crystal.

a b c (Å): 9.6935 9.6935 9.6935
angles (deg): 148.69 115.36 73.58
Sites, in units of the cell vectors:
La 0.0000 0.0000 0.0000
La 0.1667 0.6667 0.5000
La 0.3337 0.3337 0.0000
La 0.6663 0.6663 0.0000
La 0.8333 0.3333 0.5000
Pr 0.0928 0.8374 0.2554
Pr 0.2507 0.5000 0.7507
Pr 0.4180 0.1626 0.2554
Pr 0.5820 0.8374 0.7446
Pr 0.7493 0.5000 0.2493
Pr 0.9072 0.1626 0.7446
Cd 0.5000 0.0000 0.5000

Results
calculated formation energy = -0.02 eV/atom
symmetry = Immm (71)

Entry 2:
VASP calculation (PBE) on a relaxed La6Pr8Cd crystal.

a b c (Å): 9.7166 9.7166 6.6411
angles (deg): 90.00 90.00 120.00
Sites, in units of the cell vectors:
La 0.0924 0.6425 0.1758
La 0.3575 0.4499 0.1758
La 0.4499 0.0924 0.8242
La 0.5501 0.9076 0.1758
La 0.6425 0.5501 0.8242
La 0.9076 0.3575 0.8242
Pr 0.0435 0.7775 0.6861
Pr 0.2225 0.2660 0.6861
Pr 0.2660 0.0435 0.3139
Pr 0.3333 0.6667 0.6490
Pr 0.6667 0.3333 0.3510
Pr 0.7340 0.9565 0.6861
Pr 0.7775 0.7340 0.3139
Pr 0.9565 0.2225 0.3139
Cd 0.0000 0.0000 0.0000

Results
calculated formation energy = 0.06 eV/atom
symmetry = P-3 (147)

Entry 3:
VASP calculation (PBE) on a relaxed LaPrCd4 crystal.

a b c (Å): 5.1488 6.9804 8.8816
angles (deg): 90.00 90.00 90.00
Sites, in units of the cell vectors:
La 0.0000 0.0000 0.0000
La 0.5000 0.5000 0.5000
Pr 0.0000 0.5000 0.0000
Pr 0.5000 0.0000 0.5000
Cd 0.0000 0.2500 0.3331
Cd 0.0000 0.2500 0.6669
Cd 0.0000 0.7500 0.3331
Cd 0.0000 0.7500 0.6669
Cd 0.5000 0.2500 0.1669
Cd 0.5000 0.2500 0.8331
Cd 0.5000 0.7500 0.1669
Cd 0.5000 0.7500 0.8331

Results
E above lowest polymorph = 0.0 meV per atom
calculated formation energy = -0.36 eV/atom
symmetry = Immm (71)

Entry 4:
VASP calculation (PBE) on a relaxed La7PrCd3 crystal.

a b c (Å): 8.4869 8.4869 8.4869
angles (deg): 138.47 104.28 90.27
Sites, in units of the cell vectors:
La 0.0000 0.0000 0.0000
La 0.1030 0.7782 0.3248
La 0.3223 0.5000 0.8223
La 0.4534 0.7782 0.6752
La 0.5466 0.2218 0.3248
La 0.6777 0.5000 0.1777
La 0.8970 0.2218 0.6752
Pr 0.0000 0.5000 0.5000
Cd 0.2706 0.2706 0.0000
Cd 0.5000 0.0000 0.5000
Cd 0.7294 0.7294 0.0000

Results
calculated formation energy = -0.01 eV/atom
symmetry = Immm (71)